This record from the Alexandria database describes crystalline PmHo3Er6Th2 at its relaxed geometry. The functional is PBE-GGA.

Lattice parameters (Å, degrees): 6.140 6.140 11.661 95.04 95.04 119.95
Positions (direct):
Pm (0.000, 0.000, 0.000)
Ho (0.166, 0.834, 0.500)
Ho (0.834, 0.166, 0.500)
Ho (0.500, 0.500, 0.500)
Er (0.916, 0.579, 0.751)
Er (0.746, 0.746, 0.249)
Er (0.084, 0.421, 0.249)
Er (0.579, 0.916, 0.751)
Er (0.254, 0.254, 0.751)
Er (0.421, 0.084, 0.249)
Th (0.333, 0.667, 0.000)
Th (0.667, 0.333, 0.000)

Computed properties:
Calculated formation energy = 0.030 eV/atom
Total magnetic moment = 0.00 μB/cell
DOS(E_F) = 16.93 states/eV/f.u.
Mass density = 9.33 g cm⁻³

---

This record from the Alexandria database describes crystalline MoP2Os at its relaxed geometry. The functional is PBE-GGA.

Lattice parameters (Å, degrees): 7.625 7.625 7.625 22.65 22.65 22.65
Positions (direct):
Mo (0.508, 0.508, 0.508)
Os (0.740, 0.740, 0.740)
P (0.001, 0.001, 0.001)
P (0.251, 0.251, 0.251)

Computed properties:
Calculated formation energy = -0.042 eV/atom
Total magnetic moment = 0.00 μB/cell
DOS(E_F) = 2.62 states/eV/f.u.
Mass density = 10.03 g cm⁻³

---

This record from the Alexandria database describes crystalline Ta6Tc5Mo at its relaxed geometry. The functional is PBE-GGA.

Lattice parameters (Å, degrees): 4.519 6.385 7.145 90.00 108.37 90.00
Positions (direct):
Mo (0.000, 0.000, 0.000)
Tc (0.667, 0.500, 0.334)
Tc (0.333, 0.000, 0.665)
Tc (0.000, 0.500, 0.000)
Tc (0.667, 0.000, 0.335)
Tc (0.333, 0.500, 0.666)
Ta (0.833, 0.750, 0.666)
Ta (0.833, 0.250, 0.666)
Ta (0.500, 0.250, 0.000)
Ta (0.500, 0.750, 0.000)
Ta (0.167, 0.750, 0.334)
Ta (0.167, 0.250, 0.334)

Computed properties:
Calculated formation energy = -0.449 eV/atom
Total magnetic moment = 0.00 μB/cell
DOS(E_F) = 6.80 states/eV/f.u.
Mass density = 14.19 g cm⁻³

---

This record from the Alexandria database describes crystalline KTl2TeRh at its relaxed geometry. The functional is PBE-GGA.

Lattice parameters (Å, degrees): 5.300 5.300 5.653 90.00 90.00 90.00
Positions (direct):
Tl (0.000, 0.500, 0.000)
Tl (0.500, 0.000, 0.000)
Te (0.000, 0.000, 0.500)
Rh (0.000, 0.000, 0.000)
K (0.500, 0.500, 0.500)

Computed properties:
Total magnetic moment = 0.00 μB/cell
E_form (uncorrected) = -114.3 kJ/mol of formula units
DOS(E_F) = 1.49 states/eV/f.u.
Mass density = 7.09 g cm⁻³

---

This record from the Alexandria database describes crystalline MnNb2CdCo at its relaxed geometry. The functional is PBE-GGA.

Lattice parameters (Å, degrees): 4.953 4.524 4.953 90.00 90.00 90.00
Last column: magnetic moment on the atom in μB.
Positions (direct):
Nb (0.000, 0.000, 0.500)  0.14
Nb (0.500, 0.000, 0.000)  0.23
Mn (0.000, 0.500, 0.000)  0.11
Co (0.500, 0.500, 0.500)  -0.07
Cd (0.000, 0.000, 0.000)  0.00

Computed properties:
Calculated formation energy = 2.514 eV/atom
Total magnetic moment = 0.46 μB/cell
DOS(E_F) = 10.72 states/eV/f.u.
Mass density = 6.16 g cm⁻³

---

This record from the Alexandria database describes crystalline NaH6N at its relaxed geometry. The functional is PBE-GGA.

Lattice parameters (Å, degrees): 3.600 3.600 4.753 67.74 67.74 60.00
Positions (direct):
Na (0.500, 0.500, 0.500)
H (0.825, 0.825, 0.851)
H (0.499, 0.825, 0.851)
H (0.175, 0.501, 0.149)
H (0.501, 0.175, 0.149)
H (0.175, 0.175, 0.149)
H (0.825, 0.499, 0.851)
N (0.000, 0.000, 0.000)

Computed properties:
Total magnetic moment = 0.00 μB/cell
Total DFT energy (no corrections) = -25.1 eV/cell
DOS(E_F) = 0.59 states/eV/f.u.
Mass density = 1.49 g cm⁻³

---

This record from the Alexandria database describes crystalline Sm2AgAs4Pd3 at its relaxed geometry. The functional is PBE-GGA.

Lattice parameters (Å, degrees): 4.387 4.387 10.336 90.00 90.00 90.00
Positions (direct):
Sm (0.500, 0.000, 0.244)
Sm (0.000, 0.500, 0.756)
Ag (0.500, 0.500, 0.500)
As (0.500, 0.500, 0.000)
As (0.000, 0.000, 0.000)
As (0.500, 0.000, 0.640)
As (0.000, 0.500, 0.360)
Pd (0.000, 0.000, 0.500)
Pd (0.500, 0.000, 0.876)
Pd (0.000, 0.500, 0.124)

Computed properties:
Calculated formation energy = -0.736 eV/atom
Total magnetic moment = 0.00 μB/cell
DOS(E_F) = 4.36 states/eV/f.u.
Mass density = 8.58 g cm⁻³

---

This record from the Alexandria database describes crystalline As4RhAu at its relaxed geometry. The functional is PBE-GGA.

Lattice parameters (Å, degrees): 5.438 5.438 5.438 60.00 60.00 60.00
Positions (direct):
As (0.871, 0.376, 0.376)
As (0.376, 0.376, 0.871)
As (0.376, 0.871, 0.376)
As (0.376, 0.376, 0.376)
Rh (0.000, 0.000, 0.000)
Au (0.750, 0.750, 0.750)

Computed properties:
Calculated formation energy = 0.623 eV/atom
Total magnetic moment = 0.00 μB/cell
DOS(E_F) = 6.54 states/eV/f.u.
Mass density = 8.76 g cm⁻³

---

This record from the Alexandria database describes crystalline Tb2Er3Se6 at its relaxed geometry. The functional is PBE-GGA.

Lattice parameters (Å, degrees): 4.102 4.102 20.147 84.16 84.16 60.00
Positions (direct):
Tb (0.446, 0.446, 0.663)
Tb (0.554, 0.554, 0.337)
Er (0.000, 0.000, 0.000)
Er (0.280, 0.280, 0.159)
Er (0.720, 0.720, 0.841)
Se (0.081, 0.081, 0.757)
Se (0.919, 0.919, 0.243)
Se (0.197, 0.197, 0.408)
Se (0.803, 0.803, 0.592)
Se (0.360, 0.360, 0.920)
Se (0.640, 0.640, 0.080)

Computed properties:
Total magnetic moment = 0.00 μB/cell
E_form (uncorrected) = -1852.7 kJ/mol of formula units
DOS(E_F) = 4.49 states/eV/f.u.
Mass density = 7.36 g cm⁻³

---

This record from the Alexandria database describes crystalline Pr2HoCu at its relaxed geometry. The functional is PBE-GGA.

Lattice parameters (Å, degrees): 3.656 3.656 8.632 90.00 90.00 90.00
Positions (direct):
Pr (0.000, 0.000, 0.796)
Pr (0.000, 0.000, 0.204)
Ho (0.500, 0.500, 0.500)
Cu (0.500, 0.500, 0.000)

Computed properties:
Calculated formation energy = -0.027 eV/atom
Total magnetic moment = 0.00 μB/cell
DOS(E_F) = 6.57 states/eV/f.u.
Mass density = 7.34 g cm⁻³

---

This record from the Alexandria database describes crystalline SiC3 at its relaxed geometry. The functional is PBE-GGA.

Lattice parameters (Å, degrees): 8.634 8.634 2.878 90.00 90.00 154.97
Positions (direct):
Si (0.568, 0.432, 0.250)
Si (0.432, 0.568, 0.750)
C (0.332, 0.668, 0.250)
C (0.668, 0.332, 0.750)
C (0.068, 0.307, 0.250)
C (0.932, 0.693, 0.750)
C (0.307, 0.068, 0.750)
C (0.693, 0.932, 0.250)

Computed properties:
Total magnetic moment = 0.00 μB/cell
E_form (uncorrected) = 464.4 kJ/mol of formula units
DOS(E_F) = 1.30 states/eV/f.u.
Mass density = 2.35 g cm⁻³

---

This record from the Alexandria database describes crystalline LiTmMgSc at its relaxed geometry. The functional is PBE-GGA.

Lattice parameters (Å, degrees): 5.145 5.145 5.145 60.00 60.00 60.00
Last column: magnetic moment on the atom in μB.
Positions (direct):
Sc (0.250, 0.250, 0.250)  0.17
Mg (0.500, 0.500, 0.500)  0.01
Tm (0.750, 0.750, 0.750)  0.16
Li (0.000, 0.000, 0.000)  0.01

Computed properties:
Calculated formation energy = 0.090 eV/atom
Total magnetic moment = 0.65 μB/cell
DOS(E_F) = 5.93 states/eV/f.u.
Mass density = 4.23 g cm⁻³